(i)
# TiSi3Se, optimized geometry, DFT PBE
# * crystal system: cubic
data_TiSi3Se
_chemical_formula_sum 'Ti1 Si3 Se1'
_cell_length_a 4.7085
_cell_length_b 4.7085
_cell_length_c 4.7085
_cell_angle_alpha 90.00
_cell_angle_beta 90.00
_cell_angle_gamma 90.00
_symmetry_space_group_name_H-M 'P m -3 m'
_symmetry_Int_Tables_number 221
_symmetry_space_group_name_Hall '-P 4 2 3'
loop_
_atom_site_label
_atom_site_type_symbol
_atom_site_fract_x
_atom_site_fract_y
_atom_site_fract_z
_atom_site_occupancy
Ti1 Ti 0.0000 0.0000 0.0000 1
Si1 Si 0.0000 0.5000 0.5000 1
Se1 Se 0.5000 0.5000 0.5000 1

***

(ii)
# TiSi3Se, optimized geometry, DFT PBE
# * crystal system: cubic
data_TiSi3Se
_chemical_formula_sum 'Ti1 Si3 Se1'
_cell_length_a 4.8518
_cell_length_b 4.8518
_cell_length_c 4.8518
_cell_angle_alpha 90.00
_cell_angle_beta 90.00
_cell_angle_gamma 90.00
_symmetry_space_group_name_H-M 'P m -3 m'
_symmetry_Int_Tables_number 221
_symmetry_space_group_name_Hall '-P 4 2 3'
loop_
_atom_site_label
_atom_site_type_symbol
_atom_site_fract_x
_atom_site_fract_y
_atom_site_fract_z
_atom_site_occupancy
Ti1 Ti 0.0000 0.0000 0.0000 1
Si1 Si 0.0000 0.0000 0.5000 1
Se1 Se 0.5000 0.5000 0.5000 1

***

The structure with the most favorable energy is (ii); the runner-up is 0.352 eV/atom above it.

***

(i)
# Tl3SiSe4, optimized geometry, DFT PBE
# * crystal system: orthorhombic
data_Tl3SiSe4
_chemical_formula_sum 'Tl6 Si2 Se8'
_cell_length_a 10.7171
_cell_length_b 7.8627
_cell_length_c 6.4896
_cell_angle_alpha 90.00
_cell_angle_beta 90.00
_cell_angle_gamma 90.00
_symmetry_space_group_name_H-M 'P m n 21'
_symmetry_Int_Tables_number 31
loop_
_symmetry_equiv_pos_as_xyz
'x,y,z'
'-x+1/2,-y,z+1/2'
'-x,y,z'
'x+1/2,-y,z+1/2'
loop_
_atom_site_label
_atom_site_type_symbol
_atom_site_fract_x
_atom_site_fract_y
_atom_site_fract_z
_atom_site_occupancy
Tl1 Tl 0.0000 0.1986 0.0000 1
Tl2 Tl 0.2382 0.3081 0.4924 1
Si1 Si 0.0000 0.8137 0.3961 1
Se1 Se 0.0000 0.0920 0.5087 1
Se2 Se 0.0000 0.8153 0.0406 1
Se3 Se 0.1849 0.6961 0.5029 1

***

(ii)
# Tl3SiSe4, optimized geometry, DFT PBE
# * crystal system: orthorhombic
data_Tl3SiSe4
_chemical_formula_sum 'Tl12 Si4 Se16'
_cell_length_a 9.3467
_cell_length_b 10.8076
_cell_length_c 9.5794
_cell_angle_alpha 90.00
_cell_angle_beta 90.00
_cell_angle_gamma 90.00
_symmetry_space_group_name_H-M 'P n m a'
_symmetry_Int_Tables_number 62
loop_
_symmetry_equiv_pos_as_xyz
'x,y,z'
'-x,-y,-z'
'-x+1/2,-y,z+1/2'
'x+1/2,y,-z+1/2'
'x+1/2,-y+1/2,-z+1/2'
'-x+1/2,y+1/2,z+1/2'
'-x,y+1/2,-z'
'x,-y+1/2,z'
loop_
_atom_site_label
_atom_site_type_symbol
_atom_site_fract_x
_atom_site_fract_y
_atom_site_fract_z
_atom_site_occupancy
Tl1 Tl 0.0781 0.2500 0.1138 1
Tl2 Tl 0.0859 0.5574 0.3054 1
Si1 Si 0.2021 0.2500 0.5326 1
Se1 Se 0.0222 0.7500 0.5644 1
Se2 Se 0.1696 0.2500 0.7717 1
Se3 Se 0.1724 0.5751 0.9745 1

***

The structure with the most favorable energy is (ii); the runner-up is 0.027 eV/atom above it.

***

(i)
# TlSiSe4, optimized geometry, DFT PBE
# * crystal system: triclinic
data_TlSiSe4
_chemical_formula_sum 'Tl2 Si2 Se8'
_cell_length_a 6.2308
_cell_length_b 6.2635
_cell_length_c 8.7080
_cell_angle_alpha 69.04
_cell_angle_beta 73.78
_cell_angle_gamma 89.99
_symmetry_space_group_name_H-M 'P -1'
_symmetry_Int_Tables_number 2
loop_
_symmetry_equiv_pos_as_xyz
'x,y,z'
'-x,-y,-z'
loop_
_atom_site_label
_atom_site_type_symbol
_atom_site_fract_x
_atom_site_fract_y
_atom_site_fract_z
_atom_site_occupancy
Tl1 Tl 0.2501 0.2362 0.0001 1
Si1 Si 0.0000 0.5000 0.5000 1
Si2 Si 0.5000 0.0000 0.5000 1
Se1 Se 0.0724 0.0666 0.5904 1
Se2 Se 0.0828 0.5923 0.2012 1
Se3 Se 0.4167 0.7946 0.7988 1
Se4 Se 0.4273 0.6564 0.4096 1

***

(ii)
# TlSiSe4, optimized geometry, DFT PBE
# * crystal system: cubic
data_TlSiSe4
_chemical_formula_sum 'Tl4 Si4 Se16'
_cell_length_a 8.2460
_cell_length_b 8.2460
_cell_length_c 8.2460
_cell_angle_alpha 90.00
_cell_angle_beta 90.00
_cell_angle_gamma 90.00
_symmetry_space_group_name_H-M 'F -4 3 m'
_symmetry_Int_Tables_number 216
_symmetry_space_group_name_Hall 'F -4 2 3'
loop_
_atom_site_label
_atom_site_type_symbol
_atom_site_fract_x
_atom_site_fract_y
_atom_site_fract_z
_atom_site_occupancy
Tl1 Tl 0.0000 0.0000 0.0000 1
Si1 Si 0.2500 0.2500 0.2500 1
Se1 Se 0.1241 0.1241 0.6241 1

***

The structure with the most favorable energy is (i); the runner-up is 0.655 eV/atom above it.

***

(i)
# V2SiSe, optimized geometry, DFT PBE
# * crystal system: cubic
data_V2SiSe
_chemical_formula_sum 'V8 Si4 Se4'
_cell_length_a 6.0914
_cell_length_b 6.0914
_cell_length_c 6.0914
_cell_angle_alpha 90.00
_cell_angle_beta 90.00
_cell_angle_gamma 90.00
_symmetry_space_group_name_H-M 'F m -3 m'
_symmetry_Int_Tables_number 225
_symmetry_space_group_name_Hall '-F 4 2 3'
loop_
_atom_site_label
_atom_site_type_symbol
_atom_site_fract_x
_atom_site_fract_y
_atom_site_fract_z
_atom_site_occupancy
V1 V 0.2500 0.2500 0.2500 1
Si1 Si 0.0000 0.0000 0.0000 1
Se1 Se 0.0000 0.0000 0.5000 1

***

(ii)
# V2SiSe, optimized geometry, DFT PBE
# * crystal system: tetragonal
data_V2SiSe
_chemical_formula_sum 'V8 Si4 Se4'
_cell_length_a 5.6394
_cell_length_b 5.6394
_cell_length_c 11.3541
_cell_angle_alpha 90.00
_cell_angle_beta 90.00
_cell_angle_gamma 90.00
_symmetry_space_group_name_H-M 'I -4 2 d'
_symmetry_Int_Tables_number 122
_symmetry_space_group_name_Hall 'I -4 2bw'
loop_
_atom_site_label
_atom_site_type_symbol
_atom_site_fract_x
_atom_site_fract_y
_atom_site_fract_z
_atom_site_occupancy
V1 V 0.2440 0.2500 0.1250 1
Si1 Si 0.0000 0.0000 0.0000 1
Se1 Se 0.0000 0.0000 0.5000 1

***

The structure with the most favorable energy is (i); the runner-up is 0.405 eV/atom above it.

***

(i)
# V2SiSe2, optimized geometry, DFT PBE
# * crystal system: tetragonal
data_V2SiSe2
_chemical_formula_sum 'V4 Si2 Se4'
_cell_length_a 7.2530
_cell_length_b 7.2530
_cell_length_c 3.0465
_cell_angle_alpha 90.00
_cell_angle_beta 90.00
_cell_angle_gamma 90.00
_symmetry_space_group_name_H-M 'P 4/m b m'
_symmetry_Int_Tables_number 127
_symmetry_space_group_name_Hall '-P 4 2ab'
loop_
_atom_site_label
_atom_site_type_symbol
_atom_site_fract_x
_atom_site_fract_y
_atom_site_fract_z
_atom_site_occupancy
V1 V 0.1538 0.3462 0.0000 1
Si1 Si 0.0000 0.0000 0.5000 1
Se1 Se 0.1425 0.6425 0.5000 1

***

(ii)
# V2SiSe2, optimized geometry, DFT PBE
# * crystal system: tetragonal
data_V2SiSe2
_chemical_formula_sum 'V4 Si2 Se4'
_cell_length_a 3.5439
_cell_length_b 3.5439
_cell_length_c 14.9815
_cell_angle_alpha 90.00
_cell_angle_beta 90.00
_cell_angle_gamma 90.00
_symmetry_space_group_name_H-M 'I 4/m m m'
_symmetry_Int_Tables_number 139
_symmetry_space_group_name_Hall '-I 4 2'
loop_
_atom_site_label
_atom_site_type_symbol
_atom_site_fract_x
_atom_site_fract_y
_atom_site_fract_z
_atom_site_occupancy
V1 V 0.0000 0.5000 0.2500 1
Si1 Si 0.0000 0.0000 0.0000 1
Se1 Se 0.0000 0.0000 0.3697 1

***

The structure with the most favorable energy is (ii); the runner-up is 0.077 eV/atom above it.